# Ta5Tc3

A relaxed Ta5Tc3 crystal (PBE, Alexandria).

POSCAR file:
```
Ta5Tc3
1.0
3.219 -4.540 0.000
3.219 4.540 0.000
0.000 0.000 4.550
Ta Tc
5 3
Direct
0.000 0.000 0.000
0.000 0.500 0.000
0.254 0.254 0.500
0.500 0.000 0.000
0.746 0.746 0.500
0.249 0.751 0.500
0.500 0.500 0.000
0.751 0.249 0.500
```

Crystal system: orthorhombic
SG: Cmmm, No. 65
DFT formation energy (meV/atom): -368
Energy relative to the lowest polymorph listed for this composition (meV per atom): 48
DOS(E_F) (states/eV/f.u.): 2.47
Magnetic moment (μB per cell): 0.0